A plane-wave DFT calculation with PBE was carried out for a relaxed structure of CaFe2Os2.

Geometry as extended XYZ:
```
5
Lattice="4.1442 0.0000 0.0000 0.0000 4.1442 0.0000 2.0721 2.0721 5.0168" Properties=species:S:1:pos:R:3 pbc="T T T"
Os 4.1442 4.1442 3.8133
Os 2.0721 2.0721 1.2036
Ca 0.0000 0.0000 0.0000
Fe 4.1442 2.0721 2.5084
Fe 2.0721 4.1442 2.5084
```

Calculated values
electronic total energy	-0.294	Ha/atom


A plane-wave DFT calculation with PBE was carried out for a relaxed structure of Ca2FeOs.

Geometry as extended XYZ:
```
4
Lattice="-3.8841 -3.0088 -0.3157 -3.6074 0.2785 3.3389 -4.4041 1.7915 -1.2779" Properties=species:S:1:pos:R:3 pbc="T T T"
Fe 0.0000 0.0000 0.0000
Os -5.9478 -0.4694 0.8726
Ca -2.9739 -0.2347 0.4363
Ca -8.9217 -0.7041 1.3089
```

Calculated values
electronic total energy	-0.190	Ha/atom


A plane-wave DFT calculation with PBE was carried out for a relaxed structure of Ca2FeOs.

Geometry as extended XYZ:
```
4
Lattice="-4.0587 0.1896 1.8642 0.0349 -4.1840 0.5016 1.7661 0.4700 3.7972" Properties=species:S:1:pos:R:3 pbc="T T T"
Ca 0.9005 -1.8570 2.1494
Ca 0.0000 0.0000 0.0000
Os -1.1463 0.3298 2.8307
Fe -2.0119 -1.9972 1.1829
```

Calculated values
electronic total energy	-0.192	Ha/atom


A plane-wave DFT calculation with PBE was carried out for a relaxed structure of Ca2FeOs.

Geometry as extended XYZ:
```
4
Lattice="-0.6010 2.9707 4.5072 -4.6224 -2.3589 -1.6032 0.6289 -2.3357 1.6233" Properties=species:S:1:pos:R:3 pbc="T T T"
Fe 0.0140 0.3175 3.0653
Ca 0.0000 0.0000 0.0000
Ca -2.6117 0.3059 1.4520
Os -1.9968 -2.3473 0.0101
```

Calculated values
electronic total energy	-0.191	Ha/atom


A plane-wave DFT calculation with PBE was carried out for a relaxed structure of Ca2FeOs.

Geometry as extended XYZ:
```
4
Lattice="-8.0541 -1.4929 0.0500 -7.0440 -1.8044 -3.7717 -6.4624 -4.8596 -1.3119" Properties=species:S:1:pos:R:3 pbc="T T T"
Fe -9.8729 -3.7352 -2.3050
Ca -0.7705 -0.2915 -0.1799
Ca -4.6209 -1.7482 -1.0788
Os -17.0763 -6.4605 -3.9867
```

Calculated values
electronic total energy	-0.212	Ha/atom


A plane-wave DFT calculation with PBE was carried out for a relaxed structure of Ca2FeOs.

Geometry as extended XYZ:
```
4
Lattice="3.3523 0.0949 0.0000 -0.0947 3.3523 0.0000 0.0000 0.0000 8.4339" Properties=species:S:1:pos:R:3 pbc="T T T"
Fe 0.0000 0.0000 4.8801
Ca 1.6288 1.7236 2.7487
Ca 0.0000 0.0000 7.7807
Os 1.6288 1.7236 5.6752
```

Calculated values
electronic total energy	-0.206	Ha/atom


A plane-wave DFT calculation with PBE was carried out for a relaxed structure of Ca2FeOs.

Geometry as extended XYZ:
```
4
Lattice="-0.5758 2.1222 2.2375 -0.7710 -2.3054 1.9830 8.0680 -0.5024 2.5529" Properties=species:S:1:pos:R:3 pbc="T T T"
Fe 1.3436 -0.2172 2.7485
Ca 7.9332 -0.4940 2.5102
Ca 4.1689 -0.2596 1.3191
Os 5.3776 -0.4684 4.0249
```

Calculated values
electronic total energy	-0.191	Ha/atom


A plane-wave DFT calculation with PBE was carried out for a relaxed structure of CaFeOs2.

Geometry as extended XYZ:
```
4
Lattice="5.6593 -0.0039 0.0299 4.9944 2.6615 0.0299 1.8330 0.4572 4.1845" Properties=species:S:1:pos:R:3 pbc="T T T"
Ca 9.3650 2.3361 3.1832
Fe 3.1217 0.7787 1.0611
Os 10.3441 2.5804 0.2064
Os 6.5529 1.6347 1.9755
```

Calculated values
electronic total energy	-0.287	Ha/atom


A plane-wave DFT calculation with PBE was carried out for a relaxed structure of Ca2FeOs.

Geometry as extended XYZ:
```
4
Lattice="4.5430 0.0000 0.0000 0.0000 2.8568 0.3810 0.0000 2.0207 6.3752" Properties=species:S:1:pos:R:3 pbc="T T T"
Os 2.2715 3.6581 5.0671
Fe 2.2715 1.2194 1.6890
Ca 0.0000 2.4354 3.4051
Ca 0.0000 2.0240 6.3481
```

Calculated values
electronic total energy	-0.191	Ha/atom


A plane-wave DFT calculation with PBE was carried out for a relaxed structure of Ca2FeOs.

Geometry as extended XYZ:
```
4
Lattice="5.4216 -0.1135 0.0074 1.7760 5.1237 -0.0074 -3.1811 -3.1052 3.1057" Properties=species:S:1:pos:R:3 pbc="T T T"
Fe 3.1423 2.1873 0.0000
Ca 2.7556 -0.4710 1.5566
Os 1.5664 2.5887 1.5491
Ca 0.1510 0.1051 0.0000
```

Calculated values
electronic total energy	-0.204	Ha/atom


no.,ΔH_f (0 K) (eV/atom)
1,0.283
2,0.757
3,0.710
4,0.720
5,0.151
6,0.319
7,0.737
8,0.426
9,0.716
10,0.383